4
Lattice="-1.921 -2.340 -1.978 3.150 -1.820 -0.907 -0.408 -2.204 3.005" Properties=species:S:1:pos:R:3 comment="PBEsol Mn2MoIr, relaxed" sg=P4/mmm magnetic_moment_mub_per_fu=2.151 energy_ev_per_fu=-41.3 mass_density_g_cm3=13.00 pbc="T T T"
Mo 0.410 -3.182 0.060
Ir -0.961 -1.170 -0.989
Mn -0.204 -1.102 1.502
Mn 1.575 -0.910 -0.453